# KMnCdF6 PBE+U relaxed
# E   -4.65 eV/atom
# Volume   154.0 Å³ per cell
data_KMnCdF6
_chemical_formula_sum 'K1 Mn1 Cd1 F6'
_cell_length_a 5.500
_cell_length_b 5.677
_cell_length_c 5.689
_cell_angle_alpha 60.09
_cell_angle_beta 89.98
_cell_angle_gamma 89.94
_symmetry_space_group_name_H-M 'P 1'
_symmetry_Int_Tables_number 1
_symmetry_space_group_name_Hall 'P 1'
loop_
_atom_site_label
_atom_site_fract_x
_atom_site_fract_y
_atom_site_fract_z
_atom_site_occupancy
K1 0.000 0.000 0.000 1
Mn1 0.500 0.333 0.333 1
Cd1 0.500 0.665 0.668 1
F1 0.301 0.043 0.607 1
F2 0.301 0.350 0.043 1
F3 0.305 0.609 0.347 1
F4 0.694 0.044 0.346 1
F5 0.699 0.608 0.042 1
F6 0.700 0.351 0.604 1